Cd5Ag2Rh | PBE | relaxed

Cell: 8.6908 8.6908 8.6908 Å, 151.23 151.23 41.13°
Positions (direct):
Cd 0.0000 0.0000 0.0000
Cd 0.1236 0.6236 0.5000
Cd 0.3764 0.8764 0.5000
Cd 0.6236 0.1236 0.5000
Cd 0.8764 0.3764 0.5000
Ag 0.2532 0.2532 0.0000
Ag 0.7468 0.7468 0.0000
Rh 0.5000 0.5000 0.0000

Summary:
Calculated volume: 152 Å³ per cell
Relative energy among the computed polymorphs: 0.000 eV per atom
Formation energy from the elements: -1.80 kcal/mol of atoms
Total DFT energy (no corrections): -18.3 eV per cell
D(E_F): 1.81 states/eV/cell